This record from Alexandria via LeMat-Bulk describes a relaxed structure of SiHg. The functional is PBE.

Unit cell a=4.9765 b=3.8358 c=5.4272 alpha=90.00 beta=117.18 gamma=90.00
Closest atoms and distances in Å follow each position.
Atoms (fractional coordinates):
Si1 0.4283 0.2500 0.3552  2 Si 2.37, 2 Hg 2.62
Si2 0.5717 0.7500 0.6448  2 Si 2.37, 2 Hg 2.62
Hg1 0.8447 0.2500 0.1875  2 Si 2.62
Hg2 0.1553 0.7500 0.8125  2 Si 2.62

Computed properties:
Formation energy from raw total energies ... 0.249 eV/atom
Energy ... -2.613 eV per atom
Energy above the lowest structure with this stoichiometry ... 104 meV/atom